VASP calculation (PBE) on Sr2CeAu4 after structural relaxation.

a = 5.4133 Å, b = 5.4133 Å, c = 13.8933 Å
α = 90.00°, β = 90.00°, γ = 90.00°
Last column: nearest neighbours and their distance in Å.
Space group I4/mmm (No. 139)
Inequivalent atoms, fractional coordinates:
Sr (0.0000, 0.0000, 0.2227) [4 per cell]  4 Au 3.15
Ce (0.0000, 0.0000, 0.5000) [2 per cell]  8 Au 3.09
Au (0.0000, 0.5000, 0.1073) [8 per cell]  1 Au 2.98, 2 Ce 3.09, 2 Sr 3.15

Output
- Total moment: 0.20 μB per atom
- Crystal system: tetragonal
- Final energy: -3.755 eV per atom
- ρ: 9.0 Mg/m³